# 1
This record from the Alexandria database describes a relaxed Mg14AgSn crystal. The functional is PBE.

Calculated values
For the formation energy, the calculation gives -0.040 eV per atom. As for the space group: P4/mmm (123). For the density of states at the Fermi level, the calculation gives 8.31 states/eV/cell.

Cell and atoms, written as CIF:
```
data_Mg14AgSn
_chemical_formula_sum 'Mg14 Ag1 Sn1'
_cell_length_a 6.4706
_cell_length_b 6.4706
_cell_length_c 8.5582
_cell_angle_alpha 90.00
_cell_angle_beta 90.00
_cell_angle_gamma 90.00
_space_group_name_H-M_alt 'P 1'
_space_group_IT_number 1
loop_
_space_group_symop_operation_xyz
'x,y,z'
loop_
_atom_site_label
_atom_site_type_symbol
_atom_site_fract_x
_atom_site_fract_y
_atom_site_fract_z
Mg1 Mg 0.0000 0.0000 0.0000
Mg2 Mg 0.0000 0.5000 0.0000
Mg3 Mg 0.0000 0.5000 0.5000
Mg4 Mg 0.2436 0.2436 0.2569
Mg5 Mg 0.2436 0.2436 0.7431
Mg6 Mg 0.2436 0.7564 0.2569
Mg7 Mg 0.2436 0.7564 0.7431
Mg8 Mg 0.5000 0.0000 0.0000
Mg9 Mg 0.5000 0.0000 0.5000
Mg10 Mg 0.5000 0.5000 0.0000
Mg11 Mg 0.7564 0.2436 0.2569
Mg12 Mg 0.7564 0.2436 0.7431
Mg13 Mg 0.7564 0.7564 0.2569
Mg14 Mg 0.7564 0.7564 0.7431
Ag1 Ag 0.0000 0.0000 0.5000
Sn1 Sn 0.5000 0.5000 0.5000
```



# 2
This record from the Alexandria database describes a relaxed Mn4ZnGa3 crystal. The functional is PBE.

Calculated values
For the formation energy, the calculation gives -0.025 eV per atom. As for the space group: Pmmm (47). For the density of states at the Fermi level, the calculation gives 6.60 states/eV/cell.

Cell and atoms, written as CIF:
```
data_Mn4ZnGa3
_chemical_formula_sum 'Mn4 Zn1 Ga3'
_cell_length_a 2.7813
_cell_length_b 4.4198
_cell_length_c 8.8420
_cell_angle_alpha 90.00
_cell_angle_beta 90.00
_cell_angle_gamma 90.00
_space_group_name_H-M_alt 'P 1'
_space_group_IT_number 1
loop_
_space_group_symop_operation_xyz
'x,y,z'
loop_
_atom_site_label
_atom_site_type_symbol
_atom_site_fract_x
_atom_site_fract_y
_atom_site_fract_z
Mn1 Mn 0.0000 0.0000 0.0000
Mn2 Mn 0.0000 0.0000 0.5000
Mn3 Mn 0.0000 0.5000 0.2462
Mn4 Mn 0.0000 0.5000 0.7538
Zn1 Zn 0.5000 0.5000 0.5000
Ga1 Ga 0.5000 0.0000 0.2528
Ga2 Ga 0.5000 0.0000 0.7472
Ga3 Ga 0.5000 0.5000 0.0000
```



# 3
This record from the Alexandria database describes a relaxed LiLa2GaO crystal. The functional is PBE.

Calculated values
The calculation puts the uncorrected formation energy at -1.3977 eV per atom. As for the space group: P4/mmm (123). For the density of states at the Fermi level, the calculation gives 3.36 states/eV/cell.

Cell and atoms, written as CIF:
```
data_LiLa2GaO
_chemical_formula_sum 'Li1 La2 Ga1 O1'
_cell_length_a 5.0494
_cell_length_b 5.0494
_cell_length_c 4.2153
_cell_angle_alpha 90.00
_cell_angle_beta 90.00
_cell_angle_gamma 90.00
_space_group_name_H-M_alt 'P 1'
_space_group_IT_number 1
loop_
_space_group_symop_operation_xyz
'x,y,z'
loop_
_atom_site_label
_atom_site_type_symbol
_atom_site_fract_x
_atom_site_fract_y
_atom_site_fract_z
Li1 Li 0.0000 0.0000 0.0000
La1 La 0.0000 0.5000 0.5000
La2 La 0.5000 0.0000 0.5000
Ga1 Ga 0.5000 0.5000 0.0000
O1 O 0.0000 0.0000 0.5000
```